## NiPt3F (GGA+U)

Data for a geometry-optimized NiPt3F structure.

As for the offset from the most stable computed form: 0 meV per atom. For the total energy, the calculation gives -3.206 eV per atom.

The space group is Pm-3m (No. 221) and the conventional cell measures 4.314, 4.314 and 4.314 Å, with angles of 90.00, 90.00 and 90.00 degrees. The distinct sites, in fractional coordinates, are Ni at (0.000, 0.000, 0.000), Pt at (0.000, 0.500, 0.500) and F at (0.500, 0.500, 0.500).